(1)
This record from the Alexandria database describes crystalline Ac2Ga3Si at its relaxed geometry. The functional is GGA-PBE.

Results
Calculated volume = 1215 Å³ per cell
Density of states at the Fermi level = 2.9 states/eV/f.u.
Uncorrected formation energy = -0.649 eV/atom
Crystal system = orthorhombic

Cell and atoms, written as CIF:
```
data_Ac2Ga3Si
_chemical_formula_sum 'Ac16 Ga24 Si8'
_cell_length_a 8.644
_cell_length_b 9.404
_cell_length_c 14.952
_cell_angle_alpha 90.00
_cell_angle_beta 90.00
_cell_angle_gamma 90.00
_symmetry_space_group_name_H-M 'F m m m'
_symmetry_Int_Tables_number 69
_symmetry_space_group_name_Hall '-F 2 2'
loop_
_atom_site_label
_atom_site_fract_x
_atom_site_fract_y
_atom_site_fract_z
_atom_site_occupancy
Ac1 0.000 0.247 0.000 1
Ac2 0.250 0.250 0.250 1
Ga1 0.000 0.000 0.332 1
Ga2 0.249 0.000 0.084 1
Si1 0.000 0.000 0.167 1
```


(2)
This record from the Alexandria database describes crystalline PmYAgGe at its relaxed geometry. The functional is GGA-PBE.

Results
Calculated volume = 387 Å³ per cell
Density of states at the Fermi level = 3.7 states/eV/f.u.
E_form = -0.5350 eV/atom
Crystal system = cubic

Cell and atoms, written as CIF:
```
data_PmYAgGe
_chemical_formula_sum 'Pm4 Y4 Ag4 Ge4'
_cell_length_a 7.289
_cell_length_b 7.289
_cell_length_c 7.289
_cell_angle_alpha 90.00
_cell_angle_beta 90.00
_cell_angle_gamma 90.00
_symmetry_space_group_name_H-M 'F -4 3 m'
_symmetry_Int_Tables_number 216
_symmetry_space_group_name_Hall 'F -4 2 3'
loop_
_atom_site_label
_atom_site_fract_x
_atom_site_fract_y
_atom_site_fract_z
_atom_site_occupancy
Pm1 0.000 0.000 0.000 1
Y1 0.000 0.000 0.500 1
Ag1 0.250 0.250 0.750 1
Ge1 0.250 0.250 0.250 1
```


(3)
This record from the Alexandria database describes crystalline NaPrMg4 at its relaxed geometry. The functional is GGA-PBE.

Results
Calculated volume = 661 Å³ per cell
Density of states at the Fermi level = 5.0 states/eV/f.u.
E_form = 0.0156 eV/atom
Crystal system = cubic

Cell and atoms, written as CIF:
```
data_NaPrMg4
_chemical_formula_sum 'Na4 Pr4 Mg16'
_cell_length_a 8.711
_cell_length_b 8.711
_cell_length_c 8.711
_cell_angle_alpha 90.00
_cell_angle_beta 90.00
_cell_angle_gamma 90.00
_symmetry_space_group_name_H-M 'F -4 3 m'
_symmetry_Int_Tables_number 216
_symmetry_space_group_name_Hall 'F -4 2 3'
loop_
_atom_site_label
_atom_site_fract_x
_atom_site_fract_y
_atom_site_fract_z
_atom_site_occupancy
Na1 0.000 0.000 0.000 1
Pr1 0.250 0.250 0.250 1
Mg1 0.124 0.124 0.624 1
```


(4)
This record from the Alexandria database describes crystalline Re2AsC at its relaxed geometry. The functional is GGA-PBE.

Results
Calculated volume = 201 Å³ per cell
Relative energy among the computed polymorphs = 348.4 meV per atom
Density of states at the Fermi level = 2.9 states/eV/f.u.
E_form = 1.0808 eV/atom
Crystal system = cubic

Cell and atoms, written as CIF:
```
data_Re2AsC
_chemical_formula_sum 'Re8 As4 C4'
_cell_length_a 5.857
_cell_length_b 5.857
_cell_length_c 5.857
_cell_angle_alpha 90.00
_cell_angle_beta 90.00
_cell_angle_gamma 90.00
_symmetry_space_group_name_H-M 'F m -3 m'
_symmetry_Int_Tables_number 225
_symmetry_space_group_name_Hall '-F 4 2 3'
loop_
_atom_site_label
_atom_site_fract_x
_atom_site_fract_y
_atom_site_fract_z
_atom_site_occupancy
Re1 0.250 0.250 0.250 1
As1 0.000 0.000 0.000 1
C1 0.000 0.000 0.500 1
```